VZn2CrF8 PBE with a Hubbard U optimized geometry; V = 13.77 Å³ per atom; total magnetization = 7.0 μB/f.u.; total DFT energy (no corrections) = -5.0416 eV per atom
1.0
-3.411 3.411 3.550
3.411 -3.411 3.550
3.411 3.411 -3.550
V Zn Cr F
1 2 1 8
direct
0.000 0.000 0.000 V
0.250 0.750 0.500 Zn
0.500 0.500 0.000 Zn
0.750 0.250 0.500 Cr
0.054 0.359 0.305 F
0.054 0.749 0.695 F
0.106 0.303 0.803 F
0.251 0.946 0.305 F
0.501 0.303 0.197 F
0.641 0.946 0.695 F
0.697 0.499 0.803 F
0.697 0.894 0.197 F